The following is a DFT calculation (GGA-PBE) of crystalline LiAl2Re at its relaxed geometry.

Calculated values
Raw total energy: -5.63 eV per atom
DOS(E_F): 1.54 states/eV/f.u.
Energy of formation from the pure elements: -0.167 eV/atom
Crystal system: orthorhombic

a b c (Å): 6.296 6.306 2.884
angles (deg): 90.00 90.00 90.00
Space group Cmmm (No. 65)
Asymmetric unit:
Li1 0.000 0.000 0.000 (multiplicity 2)
Al1 0.250 0.250 0.500 (multiplicity 4)
Re1 0.000 0.500 0.000 (multiplicity 2)